Record 1
A plane-wave DFT calculation with PBE was carried out for a relaxed Ho3ErNi2 crystal.

Output
size of the total moment: 0.00 μB per cell
SG: C2/m (12)
density: 8.93 Mg/m³
calculated formation energy: -0.308 eV per atom
electronic total energy: -5.285 eV/atom

a b c (Å): 3.854 8.216 9.784
angles (deg): 76.96 78.64 76.44
Fractional coordinates of all 12 atoms:
Ho 0.155 0.937 0.754
Ho 0.845 0.063 0.246
Ho 0.418 0.225 0.940
Ho 0.582 0.775 0.060
Ho 0.582 0.277 0.559
Ho 0.418 0.723 0.441
Er 0.845 0.563 0.746
Er 0.155 0.437 0.254
Ni 0.231 0.588 0.949
Ni 0.769 0.412 0.051
Ni 0.769 0.911 0.551
Ni 0.231 0.089 0.449

Record 2
A plane-wave DFT calculation with PBE was carried out for a relaxed NpUPa2N6 crystal.

Output
size of the total moment: 5.01 μB per cell
SG: R3 (146)
E_form (uncorrected): -1357 meV per atom
density: 11.20 Mg/m³
electronic total energy: -10.675 eV/atom

a b c (Å): 5.994 5.994 5.970
angles (deg): 59.86 59.86 60.00
Site moments in Bohr magnetons follow the coordinates.
Fractional coordinates of all 10 atoms:
Np 0.300 0.300 0.099  3.26
U 0.806 0.806 0.581  1.24
Pa 0.526 0.526 0.421  0.28
Pa 0.029 0.029 0.914  0.35
N 0.636 0.196 0.255  -0.07
N 0.196 0.912 0.255  -0.07
N 0.912 0.636 0.255  -0.07
N 0.425 0.704 0.745  -0.07
N 0.704 0.126 0.745  -0.07
N 0.126 0.425 0.745  -0.07